# GGA-PBE In6Au, optimized geometry
data_In6Au
_symmetry_space_group_name_H-M 'I m -3 m'
_symmetry_Int_Tables_number 229
_symmetry_space_group_name_Hall '-I 4 2 3'
_cell_length_a 8.174
_cell_length_b 8.174
_cell_length_c 8.174
_cell_angle_alpha 90.00
_cell_angle_beta 90.00
_cell_angle_gamma 90.00
loop_
_atom_site_label
_atom_site_fract_x
_atom_site_fract_y
_atom_site_fract_z
In1 0.000 0.250 0.500
Au1 0.000 0.000 0.000
# Formation energy ... 0.597 eV per atom
# DFT total energy ... -2.219 eV per atom
# Spin magnetization ... 0.00 Bohr magnetons per cell

# GGA-PBE ZrCr2Ge2, optimized geometry
data_ZrCr2Ge2
_symmetry_space_group_name_H-M 'P 4/m b m'
_symmetry_Int_Tables_number 127
_symmetry_space_group_name_Hall '-P 4 2ab'
_cell_length_a 7.297
_cell_length_b 7.297
_cell_length_c 2.923
_cell_angle_alpha 90.00
_cell_angle_beta 90.00
_cell_angle_gamma 90.00
loop_
_atom_site_label
_atom_site_fract_x
_atom_site_fract_y
_atom_site_fract_z
Zr1 0.000 0.000 0.000
Cr1 0.143 0.357 0.500
Ge1 0.147 0.647 0.000
# Formation energy ... -0.094 eV per atom
# DFT total energy ... -7.500 eV per atom
# Energy relative to the lowest polymorph listed for this composition ... 0.0 meV per atom
# Spin magnetization ... 6.55 Bohr magnetons per cell

# GGA-PBE Al2Cu2Ag, optimized geometry
data_Al2Cu2Ag
_symmetry_space_group_name_H-M 'P 4/m b m'
_symmetry_Int_Tables_number 127
_symmetry_space_group_name_Hall '-P 4 2ab'
_cell_length_a 7.307
_cell_length_b 7.307
_cell_length_c 2.747
_cell_angle_alpha 90.00
_cell_angle_beta 90.00
_cell_angle_gamma 90.00
loop_
_atom_site_label
_atom_site_fract_x
_atom_site_fract_y
_atom_site_fract_z
Al1 0.174 0.326 0.000
Cu1 0.123 0.623 0.500
Ag1 0.000 0.000 0.500
# Formation energy ... -0.096 eV per atom
# DFT total energy ... -3.801 eV per atom
# Energy relative to the lowest polymorph listed for this composition ... 0.0 meV per atom
# Spin magnetization ... 0.00 Bohr magnetons per cell

# GGA-PBE CaHg2Os, optimized geometry
data_CaHg2Os
_symmetry_space_group_name_H-M 'C 1 2/m 1'
_symmetry_Int_Tables_number 12
_cell_length_a 9.857
_cell_length_b 3.148
_cell_length_c 5.576
_cell_angle_alpha 90.00
_cell_angle_beta 100.53
_cell_angle_gamma 90.00
loop_
_symmetry_equiv_pos_as_xyz
'x,y,z'
'-x,-y,-z'
'-x,y,-z'
'x,-y,z'
'x+1/2,y+1/2,z'
'-x+1/2,-y+1/2,-z'
'-x+1/2,y+1/2,-z'
'x+1/2,-y+1/2,z'
loop_
_atom_site_label
_atom_site_fract_x
_atom_site_fract_y
_atom_site_fract_z
Ca1 0.000 0.000 0.000
Hg1 0.238 0.000 0.722
Os1 0.000 0.500 0.500
# Formation energy ... 0.393 eV per atom
# DFT total energy ... -3.066 eV per atom
# Spin magnetization ... 1.19 Bohr magnetons per cell

# GGA-PBE MnInSe, optimized geometry
data_MnInSe
_symmetry_space_group_name_H-M 'P 3 m 1'
_symmetry_Int_Tables_number 156
_cell_length_a 3.7423
_cell_length_b 3.7423
_cell_length_c 5.5582
_cell_angle_alpha 90.00
_cell_angle_beta 90.00
_cell_angle_gamma 120.00
loop_
_symmetry_equiv_pos_as_xyz
'x,y,z'
'-y,x-y,z'
'-x+y,-x,z'
'-y,-x,z'
'-x+y,y,z'
'x,x-y,z'
loop_
_atom_site_label
_atom_site_fract_x
_atom_site_fract_y
_atom_site_fract_z
Mn1 0.0000 0.0000 0.0000
In1 0.3333 0.6667 0.6496
Se1 0.6667 0.3333 0.2343
# DFT total energy ... -5.213 eV per atom
# Energy relative to the lowest polymorph listed for this composition ... 0.0 meV per atom
# Spin magnetization ... 4.17 Bohr magnetons per cell
# Formation energy from raw total energies ... -0.082 eV/atom

# GGA-PBE RbV2I2, optimized geometry
data_RbV2I2
_symmetry_space_group_name_H-M 'I 4/m m m'
_symmetry_Int_Tables_number 139
_symmetry_space_group_name_Hall '-I 4 2'
_cell_length_a 5.516
_cell_length_b 5.516
_cell_length_c 9.285
_cell_angle_alpha 90.00
_cell_angle_beta 90.00
_cell_angle_gamma 90.00
loop_
_atom_site_label
_atom_site_fract_x
_atom_site_fract_y
_atom_site_fract_z
Rb1 0.000 0.000 0.000
V1 0.000 0.000 0.404
I1 0.000 0.500 0.250
# DFT total energy ... -4.315 eV per atom
# Energy relative to the lowest polymorph listed for this composition ... 0.0 meV per atom
# Spin magnetization ... 1.82 Bohr magnetons per cell
# Formation energy from raw total energies ... 0.146 eV/atom

# GGA-PBE In2Ga2HgCl6, optimized geometry
data_In2Ga2HgCl6
_symmetry_space_group_name_H-M 'P -1'
_symmetry_Int_Tables_number 2
_cell_length_a 7.020
_cell_length_b 8.078
_cell_length_c 8.321
_cell_angle_alpha 66.92
_cell_angle_beta 79.08
_cell_angle_gamma 66.76
loop_
_symmetry_equiv_pos_as_xyz
'x,y,z'
'-x,-y,-z'
loop_
_atom_site_label
_atom_site_fract_x
_atom_site_fract_y
_atom_site_fract_z
In1 0.247 0.436 0.231
Ga1 0.125 0.947 0.891
Hg1 0.500 0.500 0.500
Cl1 0.084 0.709 0.835
Cl2 0.135 0.182 0.636
Cl3 0.454 0.787 0.989
# DFT total energy ... -2.957 eV per atom
# Spin magnetization ... 0.00 Bohr magnetons per cell
# Formation energy from raw total energies ... -0.874 eV/atom

# GGA-PBE HfMgRuS2, optimized geometry
data_HfMgRuS2
_symmetry_space_group_name_H-M 'P 4/m m m'
_symmetry_Int_Tables_number 123
_symmetry_space_group_name_Hall '-P 4 2'
_cell_length_a 4.813
_cell_length_b 4.813
_cell_length_c 5.645
_cell_angle_alpha 90.00
_cell_angle_beta 90.00
_cell_angle_gamma 90.00
loop_
_atom_site_label
_atom_site_fract_x
_atom_site_fract_y
_atom_site_fract_z
Hf1 0.000 0.000 0.000
Mg1 0.000 0.000 0.500
Ru1 0.500 0.500 0.500
S1 0.000 0.500 0.000
# DFT total energy ... -5.214 eV per atom
# Spin magnetization ... 2.12 Bohr magnetons per cell
# Formation energy from raw total energies ... 0.602 eV/atom